(1)
# PrEr6Tm4 | the Alexandria database | PBE | relaxed
# Total magnetic moment ... 0.1 μB per formula unit
# Formation energy ... 0.331 eV per atom
# Electronic total energy ... -4.22 eV per atom
# Calculated density ... 8264 kg/m³
# DOS(E_F) ... 17.69 states/eV/f.u.
# Relative energy among the computed polymorphs ... 208.8 meV/atom
data_PrEr6Tm4
_chemical_formula_sum 'Pr1 Er6 Tm4'
_cell_length_a 8.9820
_cell_length_b 8.9820
_cell_length_c 5.2351
_cell_angle_alpha 90.00
_cell_angle_beta 90.00
_cell_angle_gamma 120.00
_space_group_name_H-M_alt 'P -6 m 2'
_space_group_IT_number 187
_space_group_name_Hall 'P -6 2'
loop_
_atom_site_label
_atom_site_fract_x
_atom_site_fract_y
_atom_site_fract_z
Pr1 0.0000 0.0000 0.0000
Er1 0.2081 0.4162 0.5000
Er2 0.5357 0.0713 0.0000
Tm1 0.3333 0.6667 0.0000
Tm2 0.4090 0.2045 0.5000

(2)
# Pr5ErTm4 | the Alexandria database | PBE | relaxed
# Total magnetic moment ... 0.0 μB per formula unit
# Formation energy ... 0.020 eV per atom
# Electronic total energy ... -4.61 eV per atom
# Calculated density ... 7782 kg/m³
# DOS(E_F) ... 13.96 states/eV/f.u.
data_Pr5ErTm4
_chemical_formula_sum 'Pr5 Er1 Tm4'
_cell_length_a 3.629
_cell_length_b 3.629
_cell_length_c 25.070
_cell_angle_alpha 90.00
_cell_angle_beta 90.00
_cell_angle_gamma 90.00
_space_group_name_H-M_alt 'P 4/m m m'
_space_group_IT_number 123
_space_group_name_Hall '-P 4 2'
loop_
_atom_site_label
_atom_site_fract_x
_atom_site_fract_y
_atom_site_fract_z
Pr1 0.000 0.000 0.000
Pr2 0.000 0.000 0.200
Pr3 0.000 0.000 0.400
Er1 0.500 0.500 0.500
Tm1 0.500 0.500 0.100
Tm2 0.500 0.500 0.300